(1)
Below is a relaxed Tb2CeRh3 crystal, with properties calculated at the GGA-PBE level.

Geometry as POSCAR:
```
Tb2CeRh3
1.0
-2.324 3.539 2.438
-0.018 -4.572 1.724
5.003 1.149 3.102
Ce Rh Tb
1 3 2
Direct
0.000 0.000 0.000
0.333 0.667 0.153
0.667 0.333 0.847
0.000 0.000 0.500
0.333 0.667 0.662
0.667 0.333 0.338
```

Properties
**Energy of formation from the pure elements**: -0.787 eV/atom
**DFT total energy**: -6.99 eV per atom
**Symmetry**: P-3m1 (164)
**DOS(E_F)**: 4.96 states/eV per cell


(2)
Below is a relaxed Pm2SmDyY5 crystal, with properties calculated at the GGA-PBE level.

Geometry as POSCAR:
```
Pm2SmDyY5
1.0
8.659 0.000 0.000
0.000 8.659 0.000
-4.330 -4.330 7.866
Y Sm Dy Pm
10 2 2 4
Direct
0.500 0.500 0.000
0.070 0.570 0.723
0.000 0.000 0.000
0.847 0.930 0.277
0.153 0.070 0.723
0.930 0.430 0.277
0.347 0.847 0.277
0.570 0.653 0.723
0.653 0.153 0.723
0.430 0.347 0.277
0.750 0.250 0.500
0.250 0.750 0.500
0.250 0.250 0.500
0.750 0.750 0.500
0.118 0.382 0.000
0.882 0.618 0.000
0.382 0.882 0.000
0.618 0.118 0.000
```

Properties
**Energy of formation from the pure elements**: 0.251 eV/atom
**DFT total energy**: -5.43 eV per atom
**Symmetry**: I4/mcm (140)
**DOS(E_F)**: 21.26 states/eV per cell


(3)
Below is a relaxed CaFe2TeW crystal, with properties calculated at the GGA-PBE level.

Geometry as POSCAR:
```
CaFe2TeW
1.0
4.626 0.000 0.000
0.000 5.420 0.000
0.000 0.000 4.626
Fe Ca W Te
2 1 1 1
Direct
0.500 0.000 0.000
0.000 0.000 0.500
0.000 0.500 0.000
0.500 0.500 0.500
0.000 0.000 0.000
```

Properties
**Uncorrected formation energy**: 1.84 eV/atom
**DFT total energy**: -5.16 eV per atom
**Symmetry**: P4/mmm (123)
**DOS(E_F)**: 7.25 states/eV per cell


Please write out number 1 again, unchanged.
Below is a relaxed Tb2CeRh3 crystal, with properties calculated at the GGA-PBE level.

Geometry as POSCAR:
```
Tb2CeRh3
1.0
-2.324 3.539 2.438
-0.018 -4.572 1.724
5.003 1.149 3.102
Ce Rh Tb
1 3 2
Direct
0.000 0.000 0.000
0.333 0.667 0.153
0.667 0.333 0.847
0.000 0.000 0.500
0.333 0.667 0.662
0.667 0.333 0.338
```

Properties
**Energy of formation from the pure elements**: -0.787 eV/atom
**DFT total energy**: -6.99 eV per atom
**Symmetry**: P-3m1 (164)
**DOS(E_F)**: 4.96 states/eV per cell